Entry 1:
An optimized crystal structure of Er3ThTl4. Source: Alexandria, functional PBE.

## Properties
crystal system: orthorhombic
energy of formation: -0.246 eV per atom

Unit cell a=10.8449 b=7.3341 c=5.5287 alpha=90.00 beta=90.00 gamma=90.00
Last column: nearest neighbours and their distance in Å.
Fractional coordinates of all 16 atoms:
1 Er 0.0000 0.0000 0.0000  8 Tl 3.25-3.27, 2 Er 3.61
2 Er 0.2500 0.0000 0.4305  8 Tl 3.25-3.29, 2 Er 3.61
3 Er 0.2500 0.5000 0.4367  8 Tl 3.32-3.40, 2 Th 3.63, 2 Er 3.67
4 Er 0.5000 0.0000 0.0000  8 Tl 3.25-3.27, 2 Er 3.61
5 Er 0.7500 0.0000 0.5695  8 Tl 3.25-3.29, 2 Er 3.61
6 Er 0.7500 0.5000 0.5633  8 Tl 3.32-3.40, 2 Th 3.63, 2 Er 3.67
7 Th 0.0000 0.5000 0.0000  8 Tl 3.34-3.36, 4 Er 3.63-3.67
8 Th 0.5000 0.5000 0.0000  8 Tl 3.34-3.36, 4 Er 3.63-3.67
9 Tl 0.0000 0.2387 0.5000  6 Er 3.25-3.34, 2 Th 3.36, 3 Tl 3.50-3.60
10 Tl 0.0000 0.7613 0.5000  6 Er 3.25-3.34, 2 Th 3.36, 3 Tl 3.50-3.60
11 Tl 0.2500 0.2393 0.9271  6 Er 3.25-3.40, 2 Th 3.34, 3 Tl 3.51-3.60
12 Tl 0.2500 0.7607 0.9271  6 Er 3.25-3.40, 2 Th 3.34, 3 Tl 3.51-3.60
13 Tl 0.5000 0.2387 0.5000  6 Er 3.25-3.34, 2 Th 3.36, 3 Tl 3.50-3.60
14 Tl 0.5000 0.7613 0.5000  6 Er 3.25-3.34, 2 Th 3.36, 3 Tl 3.50-3.60
15 Tl 0.7500 0.2393 0.0729  6 Er 3.25-3.40, 2 Th 3.34, 3 Tl 3.51-3.60
16 Tl 0.7500 0.7607 0.0729  6 Er 3.25-3.40, 2 Th 3.34, 3 Tl 3.51-3.60

***

Entry 2:
An optimized crystal structure of Y3Tm3Sc2. Source: Alexandria, functional PBE.

## Properties
crystal system: monoclinic
offset from the most stable computed form: 0.000 eV per atom
energy of formation: 0.093 eV per atom

Unit cell a=8.9543 b=8.9543 c=5.4986 alpha=107.79 beta=107.79 gamma=34.90
Last column: nearest neighbours and their distance in Å.
Fractional coordinates of all 8 atoms:
1 Y 0.0000 0.0000 0.0000  4 Y 3.42-3.72, 4 Tm 3.51
2 Y 0.1403 0.1403 0.6750  4 Sc 3.21-3.34, 1 Y 3.42, 5 Tm 3.52-3.59
3 Y 0.8597 0.8597 0.3250  4 Sc 3.21-3.34, 1 Y 3.42, 5 Tm 3.52-3.59
4 Tm 0.3605 0.3605 0.8921  4 Sc 3.21-3.36, 1 Tm 3.43, 5 Y 3.51-3.59
5 Tm 0.5000 0.5000 0.5000  4 Tm 3.43-3.69, 4 Y 3.52
6 Tm 0.6395 0.6395 0.1079  4 Sc 3.21-3.36, 1 Tm 3.43, 5 Y 3.51-3.59
7 Sc 0.2499 0.2499 0.2981  4 Y 3.21-3.34, 4 Tm 3.21-3.36, 2 Sc 3.48
8 Sc 0.7501 0.7501 0.7019  4 Y 3.21-3.34, 4 Tm 3.21-3.36, 2 Sc 3.48

***

Entry 3:
An optimized crystal structure of Zr3B2Pt2N3. Source: Alexandria, functional PBE.

## Properties
crystal system: monoclinic
raw formation energy: -89.2 kJ per mole of atoms

Unit cell a=3.6031 b=3.6031 c=10.0782 alpha=100.20 beta=100.20 gamma=90.03
Last column: nearest neighbours and their distance in Å.
Fractional coordinates of all 10 atoms:
1 Zr 0.0000 0.0000 0.0000  2 N 2.14
2 Zr 0.3863 0.3863 0.7701  1 N 2.24
3 Zr 0.6137 0.6137 0.2299  1 N 2.24
4 B 0.1831 0.1831 0.3667  1 N 1.43
5 B 0.8169 0.8169 0.6333  1 N 1.43
6 Pt 0.2501 0.7499 0.5000  4 B 2.22
7 Pt 0.7499 0.2501 0.5000  4 B 2.22
8 N 0.1099 0.1099 0.2198  1 B 1.43
9 N 0.5000 0.5000 0.0000  2 Zr 2.24
10 N 0.8901 0.8901 0.7802  1 B 1.43

***

Entry 4:
An optimized crystal structure of HoTh4Sc2. Source: Alexandria, functional PBE.

## Properties
crystal system: tetragonal
offset from the most stable computed form: 0.276 eV per atom
energy of formation: 0.323 eV per atom

Unit cell a=9.2251 b=9.2251 c=5.2498 alpha=90.00 beta=90.00 gamma=90.00
Last column: nearest neighbours and their distance in Å.
Fractional coordinates of all 14 atoms:
1 Ho 0.0000 0.0000 0.0000  4 Sc 3.61, 4 Th 3.75
2 Ho 0.5000 0.5000 0.5000  4 Sc 3.61, 4 Th 3.75
3 Th 0.1177 0.3634 0.5000  6 Th 3.20-3.53, 3 Sc 3.21-3.26
4 Th 0.1366 0.6177 0.0000  6 Th 3.20-3.53, 3 Sc 3.21-3.26
5 Th 0.3634 0.1177 0.5000  6 Th 3.20-3.53, 3 Sc 3.21-3.26
6 Th 0.3823 0.8634 0.0000  6 Th 3.20-3.53, 3 Sc 3.21-3.26
7 Th 0.6177 0.1366 0.0000  6 Th 3.20-3.53, 3 Sc 3.21-3.26
8 Th 0.6366 0.8823 0.5000  6 Th 3.20-3.53, 3 Sc 3.21-3.26
9 Th 0.8634 0.3823 0.0000  6 Th 3.20-3.53, 3 Sc 3.21-3.26
10 Th 0.8823 0.6366 0.5000  6 Th 3.20-3.53, 3 Sc 3.21-3.26
11 Sc 0.1894 0.8106 0.5000  6 Th 3.21-3.26
12 Sc 0.3106 0.3106 0.0000  6 Th 3.21-3.26
13 Sc 0.6894 0.6894 0.0000  6 Th 3.21-3.26
14 Sc 0.8106 0.1894 0.5000  6 Th 3.21-3.26

***

Entry 5:
An optimized crystal structure of Na2PuAu2Se4. Source: Alexandria, functional PBE.

## Properties
crystal system: monoclinic
raw formation energy: -77.6 kJ per mole of atoms

Unit cell a=7.7608 b=7.7608 c=7.6199 alpha=112.29 beta=112.29 gamma=30.83
Last column: nearest neighbours and their distance in Å.
Fractional coordinates of all 9 atoms:
1 Na 0.1264 0.1264 0.0791  7 Se 3.11-3.27, 1 Au 3.18
2 Na 0.8736 0.8736 0.9209  7 Se 3.11-3.27, 1 Au 3.18
3 Pu 0.0000 0.0000 0.5000  6 Se 2.88-2.91
4 Au 0.3127 0.3127 0.4709  3 Se 2.61-2.66
5 Au 0.6873 0.6873 0.5291  3 Se 2.61-2.66
6 Se 0.2055 0.2055 0.7505  2 Au 2.61, 1 Pu 2.91
7 Se 0.4879 0.4879 0.7535  1 Au 2.66, 2 Pu 2.88
8 Se 0.5121 0.5121 0.2465  1 Au 2.66, 2 Pu 2.88
9 Se 0.7945 0.7945 0.2495  2 Au 2.61, 1 Pu 2.91

***

Entry 6:
An optimized crystal structure of K2LaBe. Source: Alexandria, functional PBE.

## Properties
crystal system: tetragonal
energy of formation: 0.772 eV per atom

Unit cell a=7.4009 b=7.4009 c=7.4009 alpha=143.00 beta=143.00 gamma=53.32
Last column: nearest neighbours and their distance in Å.
Fractional coordinates of all 4 atoms:
1 K 0.2500 0.7500 0.5000  4 K 3.32
2 K 0.7500 0.2500 0.5000  4 K 3.32
3 La 0.0000 0.0000 0.0000  4 Be 3.32
4 Be 0.5000 0.5000 0.0000  4 La 3.32

***

Entry 7:
An optimized crystal structure of TlGa4Sn. Source: Alexandria, functional PBE.

## Properties
crystal system: cubic
offset from the most stable computed form: 0.000 eV per atom
energy of formation: 0.066 eV per atom

Unit cell a=5.7630 b=5.7630 c=5.7630 alpha=60.00 beta=60.00 gamma=60.00
Last column: nearest neighbours and their distance in Å.
Fractional coordinates of all 6 atoms:
1 Tl 0.0000 0.0000 0.0000  12 Ga 3.38, 4 Sn 3.53
2 Ga 0.3751 0.3751 0.3751  6 Ga 2.88
3 Ga 0.3751 0.3751 0.8746  6 Ga 2.88
4 Ga 0.3751 0.8746 0.3751  6 Ga 2.88
5 Ga 0.8746 0.3751 0.3751  6 Ga 2.88
6 Sn 0.7500 0.7500 0.7500  12 Ga 3.38, 4 Tl 3.53

***

Entry 8:
An optimized crystal structure of LaZnS2Cl. Source: Alexandria, functional PBE.

## Properties
crystal system: tetragonal
raw formation energy: -114.6 kJ per mole of atoms
offset from the most stable computed form: 0.000 eV per atom

Unit cell a=4.8301 b=4.8301 c=4.6434 alpha=90.00 beta=90.00 gamma=90.00
Last column: nearest neighbours and their distance in Å.
Fractional coordinates of all 5 atoms:
1 La 0.0000 0.0000 0.0000  8 S 3.35, 4 Cl 3.42
2 Zn 0.5000 0.5000 0.5000  2 Cl 2.32, 4 S 2.42
3 S 0.0000 0.5000 0.5000  2 Zn 2.42
4 S 0.5000 0.0000 0.5000  2 Zn 2.42
5 Cl 0.5000 0.5000 0.0000  2 Zn 2.32

***

Number 1: N(E_F) 0.5216 states/eV per atom. Number 2: N(E_F) 2.1300 states/eV per atom. Number 3: N(E_F) 0.3600 states/eV per atom. Number 4: N(E_F) 1.6045 states/eV per atom. Number 5: N(E_F) 1.0378 states/eV per atom. Number 6: N(E_F) 1.4256 states/eV per atom. Number 7: N(E_F) 0.3792 states/eV per atom. Number 8: N(E_F) 0.6658 states/eV per atom.